Record 1
Compound: ZnCuRe2
Source: the Alexandria database
Functional: PBE-GGA
Structure: optimized geometry Values from VASP.

Quantum ESPRESSO input file:
```
&SYSTEM
  ibrav = 0, nat = 4, ntyp = 3
/
ATOMIC_SPECIES
Zn 65.41 Zn.upf
Cu 63.55 Cu.upf
Re 186.21 Re.upf
CELL_PARAMETERS angstrom
2.616 0.000 0.000
0.000 4.398 0.000
-0.912 0.000 4.961
ATOMIC_POSITIONS crystal
Zn 0.000 0.000 0.000
Cu 0.500 0.000 0.500
Re 0.273 0.500 0.750
Re 0.727 0.500 0.250
```

Properties
Magnetization   0.00 μB per formula unit
Polymorph energy (0 for the lowest one)   0.269 eV/atom
Space group   No. 10

***

Record 2
Compound: Zr2TcOs
Source: the Alexandria database
Functional: PBE-GGA
Structure: optimized geometry Values from VASP.

Quantum ESPRESSO input file:
```
&SYSTEM
  ibrav = 0, nat = 8, ntyp = 3
/
ATOMIC_SPECIES
Zr 91.22 Zr.upf
Tc 98.00 Tc.upf
Os 190.23 Os.upf
CELL_PARAMETERS angstrom
5.936 0.000 0.000
0.000 8.727 0.000
-1.107 0.000 2.745
ATOMIC_POSITIONS crystal
Zr 0.250 0.250 0.000
Zr 0.250 0.750 0.000
Zr 0.750 0.250 0.000
Zr 0.750 0.750 0.000
Tc 0.000 0.000 0.500
Tc 0.500 0.500 0.500
Os 0.000 0.500 0.500
Os 0.500 0.000 0.500
```

Properties
Magnetization   0.00 μB per formula unit
Space group   No. 12

***

Record 3
Compound: V3MoOs
Source: the Alexandria database
Functional: PBE-GGA
Structure: optimized geometry Values from VASP.

Quantum ESPRESSO input file:
```
&SYSTEM
  ibrav = 0, nat = 10, ntyp = 3
/
ATOMIC_SPECIES
V 50.94 V.upf
Mo 95.94 Mo.upf
Os 190.23 Os.upf
CELL_PARAMETERS angstrom
2.130 -7.309 0.000
2.130 7.309 0.000
0.000 0.000 4.631
ATOMIC_POSITIONS crystal
V 0.000 0.000 0.000
V 0.000 0.000 0.500
V 0.238 0.762 0.750
V 0.443 0.557 0.750
V 0.557 0.443 0.250
V 0.762 0.238 0.250
Mo 0.158 0.842 0.250
Mo 0.842 0.158 0.750
Os 0.362 0.638 0.250
Os 0.638 0.362 0.750
```

Properties
Magnetization   0.00 μB per formula unit
Polymorph energy (0 for the lowest one)   0.092 eV/atom
Space group   No. 63

***

Record 4
Compound: K3ScBi2Te6
Source: the Alexandria database
Functional: PBE-GGA
Structure: optimized geometry Values from VASP.

Quantum ESPRESSO input file:
```
&SYSTEM
  ibrav = 0, nat = 12, ntyp = 4
/
ATOMIC_SPECIES
K 39.10 K.upf
Sc 44.96 Sc.upf
Bi 208.98 Bi.upf
Te 127.60 Te.upf
CELL_PARAMETERS angstrom
3.909 -6.772 0.000
3.909 6.772 0.000
-2.612 0.000 8.234
ATOMIC_POSITIONS crystal
K 0.000 0.000 0.000
K 0.327 0.673 0.000
K 0.673 0.327 0.000
Sc 0.500 0.500 0.500
Bi 0.166 0.834 0.500
Bi 0.834 0.166 0.500
Te 0.116 0.432 0.295
Te 0.253 0.253 0.707
Te 0.432 0.116 0.295
Te 0.568 0.884 0.705
Te 0.747 0.747 0.293
Te 0.884 0.568 0.705
```

Properties
Magnetization   0.00 μB per formula unit
Space group   No. 12
ΔE_f (raw)   -0.833 eV/atom

***

Record 5
Compound: Ti2MnMoAs
Source: the Alexandria database
Functional: PBE-GGA
Structure: optimized geometry Values from VASP.

Quantum ESPRESSO input file:
```
&SYSTEM
  ibrav = 0, nat = 5, ntyp = 4
/
ATOMIC_SPECIES
Ti 47.87 Ti.upf
Mn 54.94 Mn.upf
Mo 95.94 Mo.upf
As 74.92 As.upf
CELL_PARAMETERS angstrom
4.640 0.000 0.000
0.000 4.640 0.000
0.000 0.000 4.167
ATOMIC_POSITIONS crystal
Ti 0.000 0.500 0.000
Ti 0.500 0.000 0.000
Mn 0.000 0.000 0.500
Mo 0.500 0.500 0.500
As 0.000 0.000 0.000
```

Properties
Magnetization   0.00 μB per formula unit
Space group   No. 123

***

Record 6
Compound: LiPtRh2
Source: the Alexandria database
Functional: PBE-GGA
Structure: optimized geometry Values from VASP.

Quantum ESPRESSO input file:
```
&SYSTEM
  ibrav = 0, nat = 12, ntyp = 3
/
ATOMIC_SPECIES
Li 6.94 Li.upf
Pt 195.08 Pt.upf
Rh 102.91 Rh.upf
CELL_PARAMETERS angstrom
2.726 0.000 0.000
-1.363 2.360 0.000
0.000 0.000 26.867
ATOMIC_POSITIONS crystal
Li 0.000 0.000 0.000
Li 0.333 0.667 0.667
Li 0.667 0.333 0.333
Pt 0.000 0.000 0.500
Pt 0.333 0.667 0.167
Pt 0.667 0.333 0.833
Rh 0.000 0.000 0.252
Rh 0.000 0.000 0.748
Rh 0.333 0.667 0.415
Rh 0.333 0.667 0.919
Rh 0.667 0.333 0.081
Rh 0.667 0.333 0.585
```

Properties
Magnetization   0.78 μB per formula unit
Polymorph energy (0 for the lowest one)   0.252 eV/atom
Space group   No. 166

***

Record 7
Compound: Tb2Ti3Si4
Source: the Alexandria database
Functional: PBE-GGA
Structure: optimized geometry Values from VASP.

Quantum ESPRESSO input file:
```
&SYSTEM
  ibrav = 0, nat = 36, ntyp = 3
/
ATOMIC_SPECIES
Tb 158.93 Tb.upf
Ti 47.87 Ti.upf
Si 28.09 Si.upf
CELL_PARAMETERS angstrom
7.065 0.000 0.000
0.000 7.065 0.000
0.000 0.000 12.997
ATOMIC_POSITIONS crystal
Tb 0.003 0.340 0.033
Tb 0.160 0.503 0.283
Tb 0.340 0.003 0.967
Tb 0.497 0.840 0.217
Tb 0.503 0.160 0.717
Tb 0.660 0.997 0.467
Tb 0.840 0.497 0.783
Tb 0.997 0.660 0.533
Ti 0.008 0.153 0.623
Ti 0.153 0.008 0.377
Ti 0.173 0.827 0.750
Ti 0.327 0.327 0.500
Ti 0.347 0.508 0.873
Ti 0.492 0.653 0.627
Ti 0.508 0.347 0.127
Ti 0.653 0.492 0.373
Ti 0.673 0.673 0.000
Ti 0.827 0.173 0.250
Ti 0.847 0.992 0.877
Ti 0.992 0.847 0.123
Si 0.046 0.709 0.935
Si 0.130 0.202 0.815
Si 0.202 0.130 0.185
Si 0.209 0.454 0.685
Si 0.291 0.954 0.565
Si 0.298 0.630 0.065
Si 0.370 0.702 0.435
Si 0.454 0.209 0.315
Si 0.546 0.791 0.815
Si 0.630 0.298 0.935
Si 0.702 0.370 0.565
Si 0.709 0.046 0.065
Si 0.791 0.546 0.185
Si 0.798 0.870 0.685
Si 0.870 0.798 0.315
Si 0.954 0.291 0.435
```

Properties
Magnetization   0.00 μB per formula unit
Space group   No. 92
ΔE_f (raw)   -0.803 eV/atom

***

Record 8
Compound: LiBeH5N2F4
Source: the Alexandria database
Functional: PBE-GGA
Structure: optimized geometry Values from VASP.

Quantum ESPRESSO input file:
```
&SYSTEM
  ibrav = 0, nat = 52, ntyp = 5
/
ATOMIC_SPECIES
Li 6.94 Li.upf
Be 9.01 Be.upf
H 1.01 H.upf
N 14.01 N.upf
F 19.00 F.upf
CELL_PARAMETERS angstrom
10.128 0.000 0.000
0.000 8.912 0.000
0.000 0.000 5.130
ATOMIC_POSITIONS crystal
Li 0.151 0.124 0.000
Li 0.349 0.624 0.500
Li 0.651 0.376 0.000
Li 0.849 0.876 0.500
Be 0.183 0.928 0.494
Be 0.317 0.428 0.994
Be 0.683 0.572 0.494
Be 0.817 0.072 0.994
H 0.012 0.470 0.685
H 0.046 0.787 0.153
H 0.062 0.765 0.827
H 0.116 0.378 0.487
H 0.163 0.672 0.037
H 0.337 0.172 0.537
H 0.384 0.878 0.987
H 0.438 0.265 0.327
H 0.454 0.287 0.653
H 0.488 0.970 0.185
H 0.512 0.030 0.685
H 0.546 0.713 0.153
H 0.562 0.735 0.827
H 0.616 0.122 0.487
H 0.663 0.828 0.037
H 0.837 0.328 0.537
H 0.884 0.622 0.987
H 0.938 0.235 0.327
H 0.954 0.213 0.653
H 0.988 0.530 0.185
N 0.021 0.418 0.503
N 0.066 0.710 0.007
N 0.434 0.210 0.507
N 0.479 0.918 0.003
N 0.521 0.082 0.503
N 0.566 0.790 0.007
N 0.934 0.290 0.507
N 0.979 0.582 0.003
F 0.037 0.860 0.529
F 0.194 0.081 0.646
F 0.205 0.960 0.200
F 0.222 0.308 0.103
F 0.278 0.808 0.603
F 0.295 0.460 0.700
F 0.306 0.581 0.146
F 0.463 0.360 0.029
F 0.537 0.640 0.529
F 0.694 0.419 0.646
F 0.705 0.540 0.200
F 0.722 0.192 0.103
F 0.778 0.692 0.603
F 0.795 0.040 0.700
F 0.806 0.919 0.146
F 0.963 0.140 0.029
```

Properties
Magnetization   0.00 μB per formula unit
Space group   No. 33

***

Record 9
Compound: BaCrPt
Source: the Alexandria database
Functional: PBE-GGA
Structure: optimized geometry Values from VASP.

Quantum ESPRESSO input file:
```
&SYSTEM
  ibrav = 0, nat = 12, ntyp = 3
/
ATOMIC_SPECIES
Ba 137.33 Ba.upf
Cr 52.00 Cr.upf
Pt 195.08 Pt.upf
CELL_PARAMETERS angstrom
7.277 0.000 0.000
0.000 7.277 0.000
0.000 0.000 7.277
ATOMIC_POSITIONS crystal
Ba 0.000 0.000 0.000
Ba 0.000 0.500 0.500
Ba 0.500 0.000 0.500
Ba 0.500 0.500 0.000
Cr 0.250 0.250 0.750
Cr 0.250 0.750 0.250
Cr 0.750 0.250 0.250
Cr 0.750 0.750 0.750
Pt 0.250 0.250 0.250
Pt 0.250 0.750 0.750
Pt 0.750 0.250 0.750
Pt 0.750 0.750 0.250
```

Properties
Magnetization   5.65 μB per formula unit
Polymorph energy (0 for the lowest one)   1.011 eV/atom
Space group   No. 216

***

Record 10
Compound: YPu2Th
Source: the Alexandria database
Functional: PBE-GGA
Structure: optimized geometry Values from VASP.

Quantum ESPRESSO input file:
```
&SYSTEM
  ibrav = 0, nat = 4, ntyp = 3
/
ATOMIC_SPECIES
Y 88.91 Y.upf
Pu 244.00 Pu.upf
Th 232.04 Th.upf
CELL_PARAMETERS angstrom
3.490 0.000 0.000
0.000 3.490 0.000
0.000 0.000 9.608
ATOMIC_POSITIONS crystal
Y 0.000 0.000 0.000
Pu 0.500 0.500 0.261
Pu 0.500 0.500 0.739
Th 0.000 0.000 0.500
```

Properties
Magnetization   12.02 μB per formula unit
Polymorph energy (0 for the lowest one)   0.000 eV/atom
Space group   No. 123

***

Record 11
Compound: B2SbAu
Source: the Alexandria database
Functional: PBE-GGA
Structure: optimized geometry Values from VASP.

Quantum ESPRESSO input file:
```
&SYSTEM
  ibrav = 0, nat = 16, ntyp = 3
/
ATOMIC_SPECIES
B 10.81 B.upf
Sb 121.76 Sb.upf
Au 196.97 Au.upf
CELL_PARAMETERS angstrom
5.185 0.000 0.000
0.000 5.185 0.000
0.000 0.000 10.167
ATOMIC_POSITIONS crystal
B 0.231 0.250 0.125
B 0.250 0.731 0.375
B 0.250 0.769 0.875
B 0.269 0.250 0.625
B 0.731 0.750 0.625
B 0.750 0.231 0.875
B 0.750 0.269 0.375
B 0.769 0.750 0.125
Sb 0.000 0.000 0.500
Sb 0.000 0.500 0.750
Sb 0.500 0.000 0.250
Sb 0.500 0.500 0.000
Au 0.000 0.000 0.000
Au 0.000 0.500 0.250
Au 0.500 0.000 0.750
Au 0.500 0.500 0.500
```

Properties
Magnetization   0.00 μB per formula unit
Space group   No. 122
ΔE_f (raw)   0.762 eV/atom

***

no.,VASP energy (Ry per atom),calculated density (g/cm³)
1,-0.532,14.584
2,-0.719,10.994
3,-0.717,10.109
4,-0.283,5.127
5,-0.544,5.952
6,-0.417,11.753
7,-0.505,5.876
8,-0.381,1.793
9,-0.368,6.625
10,-0.769,11.479
11,-0.325,8.270